Below is an optimized crystal structure of Pr5Cd2Pb5, with properties calculated at the PBE level.

Values from the calculation:
Total magnetization ... 0.000 μB per atom
DOS(E_F) ... 11.6 states/eV/cell
Energy relative to the elements ... -10.77 kcal/mol of atoms
Raw total energy ... -99.75 eV per cell
V ... 730.9 Å³ per cell

Cell lengths 17.035, 4.874, 11.198 Å; angles 90.00, 128.17, 90.00 degrees
Space group C2/m (No. 12)
Asymmetric unit:
Pr: 0.000 0.000 0.000 (multiplicity 2)
Pr: 0.103 0.000 0.416 (multiplicity 4)
Pr: 0.190 0.000 0.828 (multiplicity 4)
Cd: 0.140 0.500 0.240 (multiplicity 4)
Pb: 0.000 0.500 0.500 (multiplicity 2)
Pb: 0.071 0.500 0.867 (multiplicity 4)
Pb: 0.238 0.500 0.672 (multiplicity 4)

***

Below is an optimized crystal structure of Pr2Cd3Pb3, with properties calculated at the PBE level.

Values from the calculation:
Total magnetization ... 0.000 μB per atom
DOS(E_F) ... 4.3 states/eV/cell
Energy relative to the elements ... -8.94 kcal/mol of atoms
Raw total energy ... -26.53 eV per cell
V ... 220.7 Å³ per cell

Cell lengths 4.788, 4.951, 9.312 Å; angles 90.00, 90.00, 90.00 degrees
Space group Pmmm (No. 47)
Asymmetric unit:
Pr: 0.000 0.000 0.248 (multiplicity 2)
Cd: 0.000 0.500 0.500 (multiplicity 1)
Cd: 0.500 0.500 0.263 (multiplicity 2)
Pb: 0.000 0.500 0.000 (multiplicity 1)
Pb: 0.500 0.000 0.000 (multiplicity 1)
Pb: 0.500 0.000 0.500 (multiplicity 1)

***

Below is an optimized crystal structure of PrCdPb2, with properties calculated at the PBE level.

Values from the calculation:
Total magnetization ... 0.000 μB per atom
DOS(E_F) ... 1.6 states/eV/cell
Energy relative to the elements ... -9.07 kcal/mol of atoms
Raw total energy ... -14.68 eV per cell
V ... 113.2 Å³ per cell
Energy above the most stable polymorph in this dataset ... 0.0000 eV per atom

Cell lengths 4.935, 4.935, 4.647 Å; angles 90.00, 90.00, 90.00 degrees
Space group P4/mmm (No. 123)
Asymmetric unit:
Pr: 0.000 0.000 0.000 (multiplicity 1)
Cd: 0.500 0.500 0.000 (multiplicity 1)
Pb: 0.000 0.500 0.500 (multiplicity 2)

***

Below is an optimized crystal structure of Pr4Cd3Pb, with properties calculated at the PBE level.

Values from the calculation:
Total magnetization ... 0.000 μB per atom
DOS(E_F) ... 34.6 states/eV/cell
Energy relative to the elements ... -8.76 kcal/mol of atoms
Raw total energy ... -85.83 eV per cell
V ... 716.0 Å³ per cell

Cell lengths 5.5097, 5.5097, 27.2360 Å; angles 90.00, 90.00, 120.00 degrees
Space group R-3m (No. 166, hexagonal axes)
Asymmetric unit:
Pr: 0.0000 0.0000 0.1245 (multiplicity 6)
Pr: 0.0000 0.0000 0.3744 (multiplicity 6)
Cd: 0.0000 0.0000 0.0000 (multiplicity 3)
Cd: 0.0000 0.0000 0.2540 (multiplicity 6)
Pb: 0.0000 0.0000 0.5000 (multiplicity 3)

***

Below is an optimized crystal structure of PrCd6Pb, with properties calculated at the PBE level.

Values from the calculation:
Total magnetization ... 0.000 μB per atom
DOS(E_F) ... 8.1 states/eV/cell
Energy relative to the elements ... -3.16 kcal/mol of atoms
Raw total energy ... -30.15 eV per cell
V ... 405.7 Å³ per cell

Cell lengths 4.932, 7.751, 10.613 Å; angles 90.00, 90.00, 90.00 degrees
Space group Amm2 (No. 38)
Asymmetric unit:
Pr: 0.000 0.000 0.000 (multiplicity 2)
Cd: 0.000 0.000 0.553 (multiplicity 2)
Cd: 0.000 0.200 0.283 (multiplicity 4)
Cd: 0.500 0.000 0.199 (multiplicity 2)
Cd: 0.500 0.206 0.486 (multiplicity 4)
Pb: 0.500 0.000 0.767 (multiplicity 2)

***

Below is an optimized crystal structure of Pr12Cd6Pb, with properties calculated at the PBE level.

Values from the calculation:
Total magnetization ... 0.000 μB per atom
DOS(E_F) ... 79.0 states/eV/cell
Energy relative to the elements ... -4.10 kcal/mol of atoms
Raw total energy ... -209.79 eV per cell
V ... 1738.3 Å³ per cell

Cell lengths 15.3916, 15.3916, 8.4727 Å; angles 90.00, 90.00, 120.00 degrees
Space group R-3 (No. 148, hexagonal axes)
Asymmetric unit:
Pr: 0.0026 0.1382 0.1669 (multiplicity 18)
Pr: 0.0668 0.5657 0.1709 (multiplicity 18)
Cd: 0.0251 0.2749 0.8287 (multiplicity 18)
Pb: 0.0000 0.0000 0.5000 (multiplicity 3)

***

Below is an optimized crystal structure of PrCd3Pb, with properties calculated at the PBE level.

Values from the calculation:
Total magnetization ... 0.000 μB per atom
DOS(E_F) ... 16.3 states/eV/cell
Energy relative to the elements ... 0.97 kcal/mol of atoms
Raw total energy ... -44.09 eV per cell
V ... 622.0 Å³ per cell

Cell lengths 5.366, 22.299, 5.199 Å; angles 90.00, 90.00, 90.00 degrees
Space group Cmcm (No. 63)
Asymmetric unit:
Pr: 0.000 0.136 0.250 (multiplicity 4)
Cd: 0.000 0.000 0.000 (multiplicity 4)
Cd: 0.250 0.216 0.750 (multiplicity 8)
Pb: 0.000 0.415 0.250 (multiplicity 4)

***

Below is an optimized crystal structure of Pr2CdPb8, with properties calculated at the PBE level.

Values from the calculation:
Total magnetization ... 0.000 μB per atom
DOS(E_F) ... 8.0 states/eV/cell
Energy relative to the elements ... -5.24 kcal/mol of atoms
Raw total energy ... -42.64 eV per cell
V ... 343.0 Å³ per cell

Cell lengths 4.831, 4.831, 14.699 Å; angles 90.00, 90.00, 90.00 degrees
Space group P4/mmm (No. 123)
Asymmetric unit:
Pr: 0.000 0.000 0.163 (multiplicity 2)
Cd: 0.000 0.000 0.500 (multiplicity 1)
Pb: 0.000 0.500 0.000 (multiplicity 2)
Pb: 0.000 0.500 0.355 (multiplicity 4)
Pb: 0.500 0.500 0.185 (multiplicity 2)